A plane-wave DFT calculation with GGA-PBE was carried out for a relaxed SmDy5Ga4 crystal.

a b c (Å): 3.6976 8.7678 8.8564
angles (deg): 96.67 102.05 90.00
Element x y z (fractional)
Dy1 0.1503 0.7768 0.3007
Dy2 0.8497 0.2232 0.6993
Dy3 0.5000 0.5000 0.0000
Dy4 0.1877 0.3419 0.3754
Dy5 0.8123 0.6581 0.6246
Ga1 0.3130 0.9448 0.6260
Ga2 0.9774 0.7391 0.9548
Ga3 0.0226 0.2609 0.0452
Ga4 0.6870 0.0552 0.3740
Sm1 0.5000 0.0000 0.0000

## Properties
ΔE_f (kJ/mol of formula units): -268.9
Space-group type: C2/m (12)
Fermi-level density of states (states/eV per atom): 0.92
Electronic total energy (Ry/atom): -0.3133